1.
Computed, not measured: a geometry-optimized Nd12Dy6Mg structure at the PBE-GGA level of DFT.

Cell and atoms, written as extended XYZ:
```
19
Lattice="8.6419 0.3860 -1.4705 -1.8033 8.4604 -1.4705 0.2984 0.3860 8.7610" Properties=species:S:1:pos:R:3 pbc="T T T"
Nd 4.8965 1.8840 3.9922
Nd 0.5900 5.2125 3.9931
Nd 4.0293 5.2131 -0.2255
Nd 2.2405 7.3484 1.8278
Nd 6.5469 4.0199 1.8269
Nd 3.1077 4.0192 6.0454
Nd 2.4737 0.3882 6.0923
Nd 1.2191 6.7407 7.2881
Nd 8.3898 2.8776 4.6227
Nd 4.6633 8.8441 -0.2723
Nd 5.9179 2.4917 -1.4681
Nd -1.2529 6.3547 1.1973
Dy 1.0560 1.3724 3.1564
Dy 6.6411 5.6889 5.4207
Dy 3.8314 7.8647 5.4146
Dy 6.0810 7.8599 2.6636
Dy 0.4959 3.5435 0.3993
Dy 3.3056 1.3676 0.4054
Mg 0.0000 0.0000 0.0000
```

- Formation enthalpy at 0 K: 130 meV per atom
- Total DFT energy (no corrections): -4.4184 eV/atom
- Offset from the most stable computed form: 10.2 meV/atom
- Total magnetization: 0.00 μB/cell

=====

2.
Computed, not measured: a geometry-optimized InHg2F2 structure at the PBE-GGA level of DFT.

Cell and atoms, written as extended XYZ:
```
10
Lattice="6.1771 0.0000 0.0000 0.0000 6.1771 0.0000 0.0000 0.0000 5.4049" Properties=species:S:1:pos:R:3 pbc="T T T"
F 1.8673 4.9558 0.0000
F 4.9558 4.3098 0.0000
F 4.3098 1.2213 0.0000
F 1.2213 1.8673 0.0000
Hg 1.0614 4.1500 2.7024
Hg 4.1500 5.1157 2.7024
Hg 5.1157 2.0271 2.7024
Hg 2.0271 1.0614 2.7024
In 0.0000 0.0000 0.0000
In 3.0885 3.0885 0.0000
```

- Total DFT energy (no corrections): -2.5171 eV/atom
- ΔE_f (raw): -1.1002 eV/atom
- Total magnetization: 0.00 μB/cell